! MgSiMo3, optimized geometry, DFT PBE-GGA; values from VASP
&SYSTEM
  ibrav = 0, nat = 5, ntyp = 3
/
ATOMIC_SPECIES
Mg 24.30 Mg.upf
Si 28.09 Si.upf
Mo 95.94 Mo.upf
CELL_PARAMETERS angstrom
4.553 0.000 0.000
0.000 4.553 0.000
0.000 0.000 4.553
ATOMIC_POSITIONS angstrom
Mg 0.000 0.000 0.000
Si 2.276 2.276 2.276
Mo 0.000 2.276 2.276
Mo 2.276 0.000 2.276
Mo 2.276 2.276 0.000
! * spin magnetization: 0.21 Bohr magnetons per cell
! * polymorph energy (0 for the lowest one): 0.0 meV/atom
! * raw formation energy: 0.9028 eV per atom